PBE Dy6Y4Sc, relaxed; formation energy from the elements = 13.62 kJ per mole of atoms; electronic total energy = -5.295 eV/atom; M_tot = 0.00 μB/cell
1.0
2.816 -4.794 0.000
2.816 4.794 0.000
0.000 0.000 25.524
Dy Y Sc
12 8 2
direct
0.000 0.000 0.000 Dy
0.000 0.000 0.500 Dy
0.016 0.984 0.750 Dy
0.316 0.684 0.107 Dy
0.316 0.684 0.393 Dy
0.351 0.649 0.683 Dy
0.351 0.649 0.817 Dy
0.649 0.351 0.183 Dy
0.649 0.351 0.317 Dy
0.684 0.316 0.607 Dy
0.684 0.316 0.893 Dy
0.984 0.016 0.250 Dy
0.021 0.979 0.622 Y
0.021 0.979 0.878 Y
0.340 0.660 0.544 Y
0.340 0.660 0.956 Y
0.660 0.340 0.044 Y
0.660 0.340 0.456 Y
0.979 0.021 0.122 Y
0.979 0.021 0.378 Y
0.318 0.682 0.250 Sc
0.682 0.318 0.750 Sc